[1]
# ThUS2N

ThUS2N after structural relaxation (PBE-GGA, Alexandria via LeMat-Bulk).

Results
ΔE_f (raw): -1643 meV per atom
Space group: No. 129
Energy: -8.701 eV per atom

a b c (Å): 3.967 3.967 13.733
angles (deg): 90.00 90.00 90.00
Element x y z (fractional)
1 Th 0.250 0.250 0.088
2 Th 0.750 0.750 0.912
3 U 0.250 0.250 0.608
4 U 0.750 0.750 0.392
5 S 0.250 0.250 0.403
6 S 0.250 0.250 0.795
7 S 0.750 0.750 0.205
8 S 0.750 0.750 0.597
9 N 0.250 0.750 0.000
10 N 0.750 0.250 0.000



[2]
# Ac2Cu4Ge3Ir

Ac2Cu4Ge3Ir after structural relaxation (PBE-GGA, Alexandria via LeMat-Bulk).

Results
Energy of formation from the pure elements: -0.3775 eV per atom
Space group: No. 115
Energy: -5.109 eV per atom

a b c (Å): 4.334 4.334 10.230
angles (deg): 90.00 90.00 90.00
Element x y z (fractional)
1 Ac 0.000 0.500 0.246
2 Ac 0.500 0.000 0.754
3 Cu 0.000 0.000 0.500
4 Cu 0.000 0.500 0.866
5 Cu 0.500 0.000 0.134
6 Cu 0.500 0.500 0.500
7 Ge 0.000 0.000 0.000
8 Ge 0.000 0.500 0.623
9 Ge 0.500 0.000 0.377
10 Ir 0.500 0.500 0.000



[3]
# TeAs2S2

TeAs2S2 after structural relaxation (PBE-GGA, Alexandria via LeMat-Bulk).

Results
Relative energy among the computed polymorphs: 1 meV/atom
ΔE_f (raw): 19 meV per atom
Space group: No. 109
Energy: -4.120 eV per atom

a b c (Å): 8.869 8.869 8.869
angles (deg): 136.76 136.76 62.80
Element x y z (fractional)
1 Te 0.000 0.000 0.000
2 Te 0.750 0.250 0.500
3 As 0.141 0.396 0.255
4 As 0.141 0.886 0.745
5 As 0.146 0.391 0.755
6 As 0.636 0.391 0.245
7 S 0.363 0.618 0.745
8 S 0.368 0.123 0.755
9 S 0.368 0.613 0.245
10 S 0.873 0.618 0.255



[4]
# La3Sm6Mg

La3Sm6Mg after structural relaxation (PBE-GGA, Alexandria via LeMat-Bulk).

Results
Relative energy among the computed polymorphs: 0 meV/atom
Energy of formation from the pure elements: 0.1187 eV per atom
Space group: No. 36
Energy: -4.350 eV per atom

a b c (Å): 10.395 10.395 6.488
angles (deg): 90.00 90.00 99.89
Element x y z (fractional)
1 La 0.144 0.856 0.500
2 La 0.214 0.386 0.154
3 La 0.386 0.214 0.654
4 La 0.614 0.786 0.154
5 La 0.786 0.614 0.654
6 La 0.856 0.144 0.000
7 Sm 0.064 0.174 0.499
8 Sm 0.090 0.485 0.689
9 Sm 0.174 0.064 0.999
10 Sm 0.248 0.752 0.999
11 Sm 0.450 0.550 0.839
12 Sm 0.485 0.090 0.189
13 Sm 0.515 0.910 0.689
14 Sm 0.550 0.450 0.339
15 Sm 0.752 0.248 0.499
16 Sm 0.826 0.936 0.499
17 Sm 0.910 0.515 0.189
18 Sm 0.936 0.826 0.999
19 Mg 0.348 0.652 0.428
20 Mg 0.652 0.348 0.928



[5]
# Tl2NiPOs

Tl2NiPOs after structural relaxation (PBE-GGA, Alexandria via LeMat-Bulk).

Results
Energy of formation from the pure elements: 1.2231 eV per atom
Space group: No. 123
Energy: -4.208 eV per atom

a b c (Å): 5.288 5.288 4.555
angles (deg): 90.00 90.00 90.00
Element x y z (fractional)
1 Tl 0.000 0.500 0.000
2 Tl 0.500 0.000 0.000
3 Ni 0.000 0.000 0.500
4 P 0.500 0.500 0.500
5 Os 0.000 0.000 0.000



[6]
# Tb5Ti5O17

Tb5Ti5O17 after structural relaxation (PBE-GGA, Alexandria via LeMat-Bulk).

Results
ΔE_f (raw): -3271 meV per atom
Space group: No. 31
Energy: -8.712 eV per atom

a b c (Å): 3.845 5.493 31.537
angles (deg): 90.00 90.00 90.00
Element x y z (fractional)
1 Tb 0.000 0.158 0.000
2 Tb 0.000 0.208 0.219
3 Tb 0.000 0.342 0.442
4 Tb 0.000 0.673 0.319
5 Tb 0.000 0.828 0.124
6 Tb 0.500 0.172 0.624
7 Tb 0.500 0.327 0.819
8 Tb 0.500 0.658 0.942
9 Tb 0.500 0.792 0.719
10 Tb 0.500 0.842 0.500
11 Ti 0.000 0.217 0.897
12 Ti 0.000 0.264 0.721
13 Ti 0.000 0.282 0.545
14 Ti 0.000 0.729 0.632
15 Ti 0.000 0.771 0.809
16 Ti 0.500 0.229 0.309
17 Ti 0.500 0.271 0.132
18 Ti 0.500 0.718 0.045
19 Ti 0.500 0.736 0.221
20 Ti 0.500 0.783 0.397
21 O 0.000 0.056 0.667
22 O 0.000 0.062 0.495
23 O 0.000 0.067 0.839
24 O 0.000 0.249 0.142
25 O 0.000 0.261 0.298
26 O 0.000 0.421 0.775
27 O 0.000 0.422 0.604
28 O 0.000 0.438 0.947
29 O 0.000 0.544 0.854
30 O 0.000 0.554 0.511
31 O 0.000 0.568 0.692
32 O 0.000 0.715 0.392
33 O 0.000 0.774 0.218
34 O 0.000 0.786 0.051
35 O 0.000 0.932 0.752
36 O 0.000 0.945 0.932
37 O 0.000 0.948 0.587
38 O 0.500 0.052 0.087
39 O 0.500 0.055 0.432
40 O 0.500 0.068 0.252
41 O 0.500 0.214 0.551
42 O 0.500 0.226 0.718
43 O 0.500 0.285 0.892
44 O 0.500 0.432 0.192
45 O 0.500 0.446 0.011
46 O 0.500 0.456 0.354
47 O 0.500 0.562 0.447
48 O 0.500 0.578 0.104
49 O 0.500 0.579 0.275
50 O 0.500 0.739 0.798
51 O 0.500 0.751 0.642
52 O 0.500 0.933 0.339
53 O 0.500 0.938 0.995
54 O 0.500 0.944 0.167



[7]
# PdPbIO2

PdPbIO2 after structural relaxation (PBE-GGA, Alexandria via LeMat-Bulk).

Results
Relative energy among the computed polymorphs: 0 meV/atom
ΔE_f (raw): 13 meV per atom
Space group: No. 123
Energy: -4.060 eV per atom

a b c (Å): 4.123 4.123 7.182
angles (deg): 90.00 90.00 90.00
Element x y z (fractional)
1 Pd 0.000 0.000 0.000
2 Pb 0.500 0.500 0.500
3 I 0.500 0.500 0.000
4 O 0.000 0.500 0.500
5 O 0.500 0.000 0.500



[8]
# Ta3GaRh

Ta3GaRh after structural relaxation (PBE-GGA, Alexandria via LeMat-Bulk).

Results
Relative energy among the computed polymorphs: 0 meV/atom
Energy of formation from the pure elements: 1.0485 eV per atom
Space group: No. 221
Energy: -8.139 eV per atom

a b c (Å): 4.796 4.796 4.796
angles (deg): 90.00 90.00 90.00
Element x y z (fractional)
1 Ta 0.000 0.000 0.500
2 Ta 0.000 0.500 0.000
3 Ta 0.500 0.000 0.000
4 Ga 0.500 0.500 0.500
5 Rh 0.000 0.000 0.000



[9]
# Sr3TiSb3

Sr3TiSb3 after structural relaxation (PBE-GGA, Alexandria via LeMat-Bulk).

Results
ΔE_f (raw): -860 meV per atom
Space group: No. 64
Energy: -4.475 eV per atom

a b c (Å): 10.712 10.712 13.794
angles (deg): 90.00 90.00 38.48
Element x y z (fractional)
1 Sr 0.017 0.637 0.133
2 Sr 0.137 0.517 0.633
3 Sr 0.191 0.809 0.843
4 Sr 0.309 0.691 0.343
5 Sr 0.363 0.983 0.133
6 Sr 0.483 0.863 0.633
7 Sr 0.517 0.137 0.367
8 Sr 0.637 0.017 0.867
9 Sr 0.691 0.309 0.657
10 Sr 0.809 0.191 0.157
11 Sr 0.863 0.483 0.367
12 Sr 0.983 0.363 0.867
13 Ti 0.081 0.081 0.500
14 Ti 0.419 0.419 0.000
15 Ti 0.581 0.581 0.000
16 Ti 0.919 0.919 0.500
17 Sb 0.041 0.638 0.381
18 Sb 0.138 0.541 0.881
19 Sb 0.235 0.765 0.603
20 Sb 0.265 0.735 0.103
21 Sb 0.362 0.959 0.381
22 Sb 0.459 0.862 0.881
23 Sb 0.541 0.138 0.119
24 Sb 0.638 0.041 0.619
25 Sb 0.735 0.265 0.897
26 Sb 0.765 0.235 0.397
27 Sb 0.862 0.459 0.119
28 Sb 0.959 0.362 0.619



Q: Among the records above, which one has the lowest energy?
A: Tb5Ti5O17



Q: Among the records above, which one has the lowest energy?
A: Tb5Ti5O17



Q: What is the formula in the sixth record?
A: Tb5Ti5O17



Q: Which of these has the lowest energy?
A: Tb5Ti5O17